1.
Here is a geometry-optimized Pm12SbC4 structure from Alexandria via LeMat-Bulk. Energies are from PBE.

Output
space group = Im-3 (204)
density of states at the Fermi level = 17.5 states/eV/f.u.
raw formation energy = -0.070 eV/atom

```
17
Lattice="-7.581 3.590 1.120 -0.648 -8.364 1.109 5.480 3.173 5.613" Properties=species:S:1:pos:R:3 pbc="T T T"
Pm -2.165 1.183 2.469
Pm -0.584 -2.784 5.372
Pm -1.620 -2.419 1.925
Pm 0.233 -5.414 2.754
Pm -3.836 -1.267 4.542
Pm -4.820 -4.276 2.792
Pm 2.072 2.675 5.050
Pm 2.967 -2.353 5.914
Pm 1.088 -0.334 3.300
Pm -5.716 0.752 1.927
Pm -1.129 0.818 5.917
Pm -2.981 3.813 5.088
C -1.374 -0.800 3.921
C -0.324 -4.182 0.555
C -3.790 1.795 0.560
C 2.740 1.587 2.806
Sb 0.000 0.000 0.000
```



2.
Here is a geometry-optimized Pm6Sb2C structure from Alexandria via LeMat-Bulk. Energies are from PBE.

Output
space group = Amm2 (38)
density of states at the Fermi level = 11.4 states/eV/f.u.
raw formation energy = -0.437 eV/atom

```
9
Lattice="4.006 0.000 0.000 0.000 8.428 0.000 0.000 -4.214 7.297" Properties=species:S:1:pos:R:3 pbc="T T T"
Pm 0.000 3.264 5.654
Pm 2.003 5.947 4.293
Pm 2.003 4.957 0.000
Pm 2.003 1.734 3.004
Pm 0.000 7.478 1.643
Pm 0.000 1.900 0.000
Sb 0.000 4.213 2.433
Sb 0.000 -0.001 4.864
C 2.003 0.005 0.000
```



3.
Here is a geometry-optimized Pm3SbC structure from Alexandria via LeMat-Bulk. Energies are from PBE.

Output
space group = Pm-3m (221)
density of states at the Fermi level = 2.8 states/eV/f.u.
raw formation energy = -0.544 eV/atom
distance to the lowest polymorph of the same formula = 0.062 eV per atom

```
5
Lattice="-4.014 -2.096 2.203 3.011 -2.235 3.361 -0.422 3.996 3.035" Properties=species:S:1:pos:R:3 pbc="T T T"
Pm 1.506 -1.117 1.681
Pm -2.007 -1.048 1.101
Pm -0.211 1.998 1.517
Sb -0.712 -0.167 4.299
C 0.000 0.000 0.000
```



4.
Here is a geometry-optimized Pm4SbC structure from Alexandria via LeMat-Bulk. Energies are from PBE.

Output
space group = P-1 (2)
density of states at the Fermi level = 6.2 states/eV/f.u.
raw formation energy = -0.372 eV/atom

```
12
Lattice="6.211 0.002 0.000 0.002 7.414 0.454 -3.106 -2.614 6.953" Properties=species:S:1:pos:R:3 pbc="T T T"
Sb 2.306 2.947 7.291
Sb 0.801 1.855 0.116
Pm 2.559 6.543 1.760
Pm 0.411 4.027 2.879
Pm 3.660 2.836 1.529
Pm 0.548 -1.741 5.647
Pm 3.517 4.483 4.755
Pm -0.410 0.318 2.651
Pm -0.553 1.966 5.878
Pm 2.696 0.775 4.528
C -1.552 2.400 3.703
C 1.552 -1.306 3.476
```



5.
Here is a geometry-optimized Pm12Sb6C structure from Alexandria via LeMat-Bulk. Energies are from PBE.

Output
space group = R-3 (148)
density of states at the Fermi level = 15.7 states/eV/f.u.
raw formation energy = -0.672 eV/atom

```
19
Lattice="8.633 -0.024 -0.029 -1.333 8.530 -0.029 -1.333 -1.553 8.387" Properties=species:S:1:pos:R:3 pbc="T T T"
Sb 6.196 1.931 5.838
Sb 0.969 4.598 7.357
Sb -0.229 5.022 2.490
Sb 4.398 6.943 2.943
Sb 1.570 0.009 5.386
Sb 4.998 2.355 0.972
Pm 2.018 5.983 4.793
Pm 8.101 2.438 0.482
Pm -2.134 4.515 7.847
Pm 5.608 4.198 3.712
Pm -1.190 8.013 2.485
Pm 3.949 0.970 3.536
Pm 2.669 4.405 1.586
Pm 3.299 2.548 6.743
Pm 0.360 2.755 4.617
Pm 7.158 -1.061 5.844
Pm 1.182 -1.023 8.328
Pm 4.786 7.975 0.001
C 0.000 0.000 0.000
```



6.
Here is a geometry-optimized Pm7SbC2 structure from Alexandria via LeMat-Bulk. Energies are from PBE.

Output
space group = Cmmm (65)
density of states at the Fermi level = 11.6 states/eV/f.u.
raw formation energy = 0.011 eV/atom

```
10
Lattice="-1.895 4.581 -0.086 -6.976 -2.854 1.707 3.570 1.603 6.665" Properties=species:S:1:pos:R:3 pbc="T T T"
Pm 0.428 0.275 5.188
Pm -2.997 1.459 0.847
Pm -2.304 1.870 7.438
Pm -3.834 -1.526 3.184
Pm -0.164 2.656 2.179
Pm -2.651 1.665 4.143
Pm -5.137 0.673 6.107
C -0.379 2.624 5.211
C -4.922 0.705 3.075
Sb 0.000 0.000 0.000
```



7.
Here is a geometry-optimized TbPm3Sb2C structure from Alexandria via LeMat-Bulk. Energies are from PBE.

Output
space group = Immm (71)
density of states at the Fermi level = 6.6 states/eV/f.u.
raw formation energy = -0.763 eV/atom

```
7
Lattice="-1.537 -0.422 4.568 -0.304 -4.884 -0.553 8.601 1.890 0.506" Properties=species:S:1:pos:R:3 pbc="T T T"
Pm 4.299 -3.171 3.716
Pm -0.152 -2.442 -0.277
Pm 2.461 -0.244 0.805
Sb 5.533 -0.550 1.811
Sb 1.227 -2.866 2.710
C 0.000 0.000 0.000
Tb -0.768 -0.211 2.284
```



8.
Here is a geometry-optimized Pm2Sc4C structure from Alexandria via LeMat-Bulk. Energies are from PBE.

Output
space group = I4/mmm (139)
density of states at the Fermi level = 13.6 states/eV/f.u.
ΔH_f (0 K) = 0.0134 eV per atom

```
7
Lattice="4.474 0.000 0.000 0.000 4.474 0.000 2.237 2.237 9.249" Properties=species:S:1:pos:R:3 pbc="T T T"
Pm 4.474 4.474 5.786
Pm 2.237 2.237 3.464
Sc 0.000 2.237 0.000
Sc 4.474 4.474 2.234
Sc 2.237 2.237 7.015
Sc 2.237 0.000 0.000
C 0.000 0.000 0.000
```



9.
Here is a geometry-optimized Pm2ScC2 structure from Alexandria via LeMat-Bulk. Energies are from PBE.

Output
space group = C2/m (12)
density of states at the Fermi level = 2.9 states/eV/f.u.
ΔH_f (0 K) = -0.1276 eV per atom

```
10
Lattice="4.958 0.000 1.927 1.700 5.373 2.967 -0.133 0.221 7.685" Properties=species:S:1:pos:R:3 pbc="T T T"
C 2.760 1.424 7.582
C 5.277 4.121 8.448
C 1.248 1.474 4.132
C 3.765 4.170 4.997
Sc 2.062 1.033 2.035
Sc 4.462 4.562 10.544
Pm 3.685 1.409 5.201
Pm 5.268 1.693 8.472
Pm 2.839 4.185 7.378
Pm 1.257 3.901 4.108
```



10.
Here is a geometry-optimized PmSc2C structure from Alexandria via LeMat-Bulk. Energies are from PBE.

Output
space group = R-3m (166)
density of states at the Fermi level = 4.4 states/eV/f.u.
ΔH_f (0 K) = -0.2118 eV per atom

```
4
Lattice="-0.017 -3.330 0.179 2.760 -1.723 -0.731 3.558 -1.219 8.702" Properties=species:S:1:pos:R:3 pbc="T T T"
C 3.150 -3.136 4.075
Pm 0.000 0.000 0.000
Sc 3.716 -4.881 2.722
Sc 2.584 -1.390 5.428
```



11.
Here is a geometry-optimized PmScC structure from Alexandria via LeMat-Bulk. Energies are from PBE.

Output
space group = Pmmn (59)
density of states at the Fermi level = 3.5 states/eV/f.u.
ΔH_f (0 K) = -0.2829 eV per atom
distance to the lowest polymorph of the same formula = 0.000 eV per atom

```
6
Lattice="-2.428 -0.625 -2.490 -1.633 -3.548 2.484 -5.108 4.965 3.735" Properties=species:S:1:pos:R:3 pbc="T T T"
Pm -4.230 4.112 3.093
Pm -2.909 -1.233 0.639
C -4.340 2.726 1.041
C -2.799 0.153 2.692
Sc -2.156 2.095 1.576
Sc -4.983 0.783 2.156
```



12.
Here is a geometry-optimized PmScC structure from Alexandria via LeMat-Bulk. Energies are from PBE.

Output
space group = P3m1 (156)
density of states at the Fermi level = 2.4 states/eV/f.u.
ΔH_f (0 K) = -0.2242 eV per atom
distance to the lowest polymorph of the same formula = 0.059 eV per atom

```
3
Lattice="6.192 0.000 0.000 0.000 3.490 0.000 0.000 -1.745 3.022" Properties=species:S:1:pos:R:3 pbc="T T T"
Sc 0.830 0.000 0.000
C 1.912 0.000 2.015
Pm 3.450 1.745 1.007
```



13.
Here is a geometry-optimized Pm2ScC structure from Alexandria via LeMat-Bulk. Energies are from PBE.

Output
space group = R-3m (166)
density of states at the Fermi level = 5.2 states/eV/f.u.
ΔH_f (0 K) = 0.1160 eV per atom

```
4
Lattice="-2.195 -0.414 2.775 -0.787 -3.269 1.177 6.486 -0.878 7.287" Properties=species:S:1:pos:R:3 pbc="T T T"
Pm -0.351 -3.560 6.052
Pm 3.855 -1.001 5.187
Sc 0.000 0.000 0.000
C 1.752 -2.280 5.619
```



14.
Here is a geometry-optimized Pm2Sc2Sn2C structure from Alexandria via LeMat-Bulk. Energies are from PBE.

Output
space group = I4/mmm (139)
density of states at the Fermi level = 0.6 states/eV/f.u.
ΔH_f (0 K) = -0.8111 eV per atom

```
7
Lattice="-1.776 -0.294 -4.215 -2.279 -3.783 1.224 -4.252 6.576 3.825" Properties=species:S:1:pos:R:3 pbc="T T T"
Sn -3.688 -0.839 -0.879
Sn -4.620 3.338 1.714
Pm -2.003 1.447 0.743
Pm -6.304 1.051 0.091
Sc -1.140 -1.892 0.612
Sc -0.888 -0.147 -2.107
C 0.000 0.000 0.000
```



15.
Here is a geometry-optimized PmSc2SnC structure from Alexandria via LeMat-Bulk. Energies are from PBE.

Output
space group = P4/mmm (123)
density of states at the Fermi level = 2.5 states/eV/f.u.
ΔH_f (0 K) = -0.6407 eV per atom

```
5
Lattice="5.012 0.000 0.000 0.000 4.603 0.000 0.000 0.000 4.603" Properties=species:S:1:pos:R:3 pbc="T T T"
Sc 0.000 0.000 2.302
Sc 0.000 2.302 0.000
Pm 2.506 0.000 0.000
C 0.000 0.000 0.000
Sn 2.506 2.302 2.302
```



16.
Here is a geometry-optimized PmSc2TlC structure from Alexandria via LeMat-Bulk. Energies are from PBE.

Output
space group = P4/mmm (123)
density of states at the Fermi level = 1.5 states/eV/f.u.
ΔH_f (0 K) = -0.4642 eV per atom

```
5
Lattice="5.038 0.000 0.000 0.000 4.630 0.000 0.000 0.000 4.630" Properties=species:S:1:pos:R:3 pbc="T T T"
Sc 0.000 0.000 2.315
Sc 0.000 2.315 0.000
Pm 2.519 0.000 0.000
Tl 2.519 2.315 2.315
C 0.000 0.000 0.000
```



17.
Here is a geometry-optimized Pm5C2Se2 structure from Alexandria via LeMat-Bulk. Energies are from PBE.

Output
space group = Cmce (64)
density of states at the Fermi level = 6.1 states/eV/f.u.
raw formation energy = -0.674 eV/atom

```
18
Lattice="-4.120 2.382 -5.708 4.825 -3.058 -4.759 -6.221 -4.706 2.526" Properties=species:S:1:pos:R:3 pbc="T T T"
Pm 0.352 -0.338 -5.234
Pm -7.261 -2.153 -1.991
Pm -2.841 -0.394 -4.448
Pm -4.302 -3.914 -0.025
Pm -5.635 -3.228 -5.460
Pm -1.214 -1.468 -7.917
Pm -2.675 -4.989 -3.493
Pm 0.000 0.000 0.000
Pm 0.119 -2.155 -2.481
Pm 1.746 -3.230 -5.950
C -0.559 0.277 -2.735
C -1.859 0.987 -6.338
C 2.564 -1.663 -4.129
C 1.264 -0.954 -7.733
Se 0.143 -5.245 -2.292
Se -1.187 -2.858 -5.174
Se -4.329 -2.524 -2.767
Se -1.539 -2.520 0.059
```



18.
Here is a geometry-optimized Pm8CSe6 structure from Alexandria via LeMat-Bulk. Energies are from PBE.

Output
space group = P-31m (162)
density of states at the Fermi level = 4.1 states/eV/f.u.
raw formation energy = -1.366 eV/atom

```
15
Lattice="5.986 0.000 0.000 0.000 7.505 -4.333 0.000 0.000 8.666" Properties=species:S:1:pos:R:3 pbc="T T T"
Pm 4.457 5.669 3.273
Pm 1.529 1.837 1.060
Pm 4.457 0.000 2.121
Pm 4.457 1.837 7.606
Pm 2.994 5.004 0.000
Pm 2.992 2.502 4.333
Pm 1.529 5.669 -3.273
Pm 1.529 7.505 2.212
Se 4.463 4.576 6.024
Se 4.463 0.001 5.284
Se 4.463 2.929 1.692
Se 1.522 2.929 -1.691
Se 1.522 4.577 2.642
Se 1.522 7.505 -0.951
C 2.993 0.000 0.000
```



19.
Here is a geometry-optimized Pm4CSe2 structure from Alexandria via LeMat-Bulk. Energies are from PBE.

Output
space group = I4/mmm (139)
density of states at the Fermi level = 8.3 states/eV/f.u.
raw formation energy = -0.796 eV/atom

```
7
Lattice="-2.703 -4.107 0.763 3.925 -2.808 -1.209 1.524 3.376 7.349" Properties=species:S:1:pos:R:3 pbc="T T T"
Pm 0.724 -0.028 2.414
Pm 1.963 -1.404 -0.604
Pm -1.352 -2.053 0.381
Pm 2.023 -3.512 4.488
Se 1.168 -3.479 1.635
Se 1.579 -0.061 5.268
C 0.000 0.000 0.000
```



20.
Here is a geometry-optimized Pm2CSe structure from Alexandria via LeMat-Bulk. Energies are from PBE.

Output
space group = R3m (160)
density of states at the Fermi level = 0.1 states/eV/f.u.
raw formation energy = -0.990 eV/atom
distance to the lowest polymorph of the same formula = 0.052 eV per atom

```
4
Lattice="-1.773 -0.248 3.418 -3.775 -0.781 0.163 -0.430 -7.155 1.436" Properties=species:S:1:pos:R:3 pbc="T T T"
Pm -1.562 -1.724 1.243
Pm -0.718 -5.774 1.387
C -4.132 -7.824 3.823
Se -2.986 -4.108 2.509
```